(1)
A plane-wave DFT calculation with PBE was carried out for Tl2AgIr after structural relaxation.

```
Tl2AgIr
1.0
-2.3671 -0.9473 2.1553
-1.8853 -2.2357 -3.0532
3.1900 -4.6707 1.4504
Ag Tl Ir
1 2 1
Direct
0.0000 0.0000 0.4897 Ag
0.5000 0.5000 0.2817 Tl
0.0000 0.0000 0.9594 Tl
0.5000 0.5000 0.7692 Ir
```

## Properties
The value obtained for the energy above the most stable polymorph in this dataset is 127 meV/atom. Its space group is Pmm2, No. 25.

(2)
A plane-wave DFT calculation with PBE was carried out for HfZnPt2 after structural relaxation.

```
HfZnPt2
1.0
-5.2229 -2.4854 4.1955
3.5485 -6.1538 0.7720
0.4856 -3.2724 4.7508
Zn Pt Hf
2 4 2
Direct
0.2500 0.7500 0.5000 Zn
0.5000 0.5000 0.0000 Zn
0.8750 0.8671 0.7500 Pt
0.1329 0.6250 0.2500 Pt
0.6171 0.1250 0.2500 Pt
0.3750 0.3829 0.7500 Pt
0.7500 0.2500 0.5000 Hf
0.0000 0.0000 0.0000 Hf
```

## Properties
Its space group is I-42d, No. 122.

(3)
A plane-wave DFT calculation with PBE was carried out for NiAu3 after structural relaxation.

```
NiAu3
1.0
-4.1094 -2.4047 1.9543
1.0509 -4.1351 -2.8785
2.9151 -1.8992 3.7927
Au Ni
6 2
Direct
0.2500 0.5000 0.0000 Au
0.5000 0.0000 0.2500 Au
0.0000 0.7500 0.5000 Au
0.7500 0.5000 0.0000 Au
0.0000 0.2500 0.5000 Au
0.5000 0.0000 0.7500 Au
0.5000 0.5000 0.5000 Ni
0.0000 0.0000 0.0000 Ni
```

## Properties
Its space group is Pm-3n, No. 223.

Number 1: ΔH_f (0 K) 446 meV/atom, N(E_F) 0.4642 states/eV/atom. Number 2: ΔH_f (0 K) -480 meV/atom, N(E_F) 0.2628 states/eV/atom. Number 3: ΔH_f (0 K) 233 meV/atom, N(E_F) 0.6637 states/eV/atom.